# Mn2ZnSiO6 | the Alexandria database | PBE+U | relaxed
data_Mn2ZnSiO6
_cell_length_a 4.9380
_cell_length_b 4.9516
_cell_length_c 5.3137
_cell_angle_alpha 117.44
_cell_angle_beta 90.27
_cell_angle_gamma 119.78
_space_group_name_H-M_alt 'P 1'
_space_group_IT_number 1
_space_group_name_Hall 'P 1'
loop_
_atom_site_label
_atom_site_type_symbol
_atom_site_fract_x
_atom_site_fract_y
_atom_site_fract_z
Mn1 Mn 0.0000 0.0000 0.0000
Mn2 Mn 0.4918 0.9805 0.4717
Zn1 Zn 0.2803 0.5560 0.8407
Si1 Si 0.8018 0.5986 0.4040
O1 O 0.0599 0.4887 0.2126
O2 O 0.1838 0.0569 0.6735
O3 O 0.4318 0.1494 0.2151
O4 O 0.6149 0.7945 0.6752
O5 O 0.7190 0.7787 0.2132
O6 O 0.8788 0.4940 0.6773
# E ... -6.72 eV per atom
# Total moment ... 0.400 μB/atom